1.
Below is crystalline IrAu2Cl at its relaxed geometry, with properties calculated at the GGA-PBE level.

Values from the calculation:
- ΔE to the lowest computed polymorph (eV per atom) = 0.382
- magnetization (μB/f.u.) = 0.0
- E_form (uncorrected) (kJ per mole of atoms) = 70
- Fermi-level density of states (states/eV/atom) = 0.76

a = 7.741 Å, b = 7.741 Å, c = 5.220 Å
α = 90.00°, β = 90.00°, γ = 90.00°
Space group I-42d (No. 122)
Asymmetric unit:
Ir  0.000  0.000  0.000 (multiplicity 4)
Au  0.224  0.250  0.125 (multiplicity 8)
Cl  0.000  0.000  0.500 (multiplicity 4)



2.
Below is crystalline Sr3MgIn2Hg6 at its relaxed geometry, with properties calculated at the GGA-PBE level.

Values from the calculation:
- calculated formation energy (meV/atom) = -316
- magnetization (μB/f.u.) = 0.0
- Fermi-level density of states (states/eV/atom) = 0.42

a = 6.6432 Å, b = 6.6432 Å, c = 9.2501 Å
α = 90.00°, β = 90.00°, γ = 120.00°
Space group P-3m1 (No. 164)
Asymmetric unit:
Sr  0.0000  0.0000  0.0000 (multiplicity 1)
Sr  0.3333  0.6667  0.6184 (multiplicity 2)
Mg  0.0000  0.0000  0.5000 (multiplicity 1)
In  0.3333  0.6667  0.9959 (multiplicity 2)
Hg  0.1777  0.3554  0.2827 (multiplicity 6)



3.
Below is crystalline Mg2AlSn at its relaxed geometry, with properties calculated at the GGA-PBE level.

Values from the calculation:
- calculated formation energy (meV/atom) = -35
- magnetization (μB/f.u.) = 0.0
- Fermi-level density of states (states/eV/atom) = 0.25

a = 3.230 Å, b = 3.230 Å, c = 8.337 Å
α = 90.00°, β = 90.00°, γ = 90.00°
Space group P4/mmm (No. 123)
Asymmetric unit:
Mg  0.000  0.000  0.236 (multiplicity 2)
Al  0.500  0.500  0.000 (multiplicity 1)
Sn  0.500  0.500  0.500 (multiplicity 1)



4.
Below is crystalline Pr2MnSb4Pd3 at its relaxed geometry, with properties calculated at the GGA-PBE level.

Values from the calculation:
- magnetization (μB/f.u.) = 4.1
- E_form (uncorrected) (kJ per mole of atoms) = -67
- Fermi-level density of states (states/eV/atom) = 0.53

a = 4.506 Å, b = 4.506 Å, c = 11.328 Å
α = 90.00°, β = 90.00°, γ = 90.00°
Space group P-4m2 (No. 115)
Asymmetric unit:
Pr  0.000  0.500  0.244 (multiplicity 2)
Mn  0.500  0.500  0.000 (multiplicity 1)
Sb  0.000  0.000  0.500 (multiplicity 1)
Sb  0.000  0.500  0.867 (multiplicity 2)
Sb  0.500  0.500  0.500 (multiplicity 1)
Pd  0.000  0.000  0.000 (multiplicity 1)
Pd  0.000  0.500  0.637 (multiplicity 2)